Compound: Sb2TeHPt
Source: the Alexandria database
Functional: PBE-GGA
Structure: optimized geometry

Lattice parameters (Å, degrees): 5.234 5.234 5.602 90.00 90.00 90.00
Last column: magnetic moment on the atom in μB.
Atoms (fractional coordinates):
Sb1 0.000 0.500 0.000  0.01
Sb2 0.500 0.000 0.000  0.01
Te1 0.000 0.000 0.500  0.10
Pt1 0.000 0.000 0.000  0.01
H1 0.500 0.500 0.500  0.34

Calculated values
excess energy over the best structure of this formula in the dataset: 842 meV/atom
DOS at the Fermi energy: 4.100 states/eV/cell
symmetry: P4/mmm (123)
energy: -3.35 eV/atom

Compound: ThZr2Np
Source: the Alexandria database
Functional: PBE-GGA
Structure: optimized geometry

Lattice parameters (Å, degrees): 3.257 3.257 9.653 90.00 90.00 90.00
Last column: magnetic moment on the atom in μB.
Atoms (fractional coordinates):
Np1 0.500 0.500 0.000  3.71
Zr1 0.000 0.000 0.765  -0.03
Zr2 0.000 0.000 0.235  -0.03
Th1 0.500 0.500 0.500  0.01

Calculated values
DOS at the Fermi energy: 9.485 states/eV/cell
symmetry: P4/mmm (123)
formation energy from the elements: 297 meV/atom
energy: -9.07 eV/atom

Compound: MnGe2PbCl8
Source: the Alexandria database
Functional: PBE-GGA
Structure: optimized geometry

Lattice parameters (Å, degrees): 6.752 6.206 8.289 90.55 88.96 87.14
Last column: magnetic moment on the atom in μB.
Atoms (fractional coordinates):
Mn1 0.000 0.000 0.000  4.41
Ge1 0.445 0.466 0.766  0.02
Ge2 0.555 0.534 0.234  0.02
Pb1 0.000 0.000 0.500  0.01
Cl1 0.182 0.806 0.212  0.03
Cl2 0.694 0.755 0.034  0.02
Cl3 0.861 0.262 0.228  0.03
Cl4 0.818 0.194 0.788  0.03
Cl5 0.306 0.245 0.966  0.02
Cl6 0.139 0.738 0.772  0.03
Cl7 0.662 0.725 0.467  0.01
Cl8 0.338 0.275 0.533  0.01

Calculated values
DOS at the Fermi energy: 0.000 states/eV/cell
formation energy without anion corrections: -0.93 eV/atom
symmetry: P-1 (2)
energy: -4.01 eV/atom

Compound: LiMnCo4
Source: the Alexandria database
Functional: PBE-GGA
Structure: optimized geometry

Lattice parameters (Å, degrees): 4.712 4.712 4.712 60.00 60.00 60.00
Last column: magnetic moment on the atom in μB.
Atoms (fractional coordinates):
Li1 0.250 0.250 0.250  -0.05
Mn1 0.000 0.000 0.000  3.53
Co1 0.625 0.625 0.125  1.65
Co2 0.625 0.125 0.625  1.65
Co3 0.625 0.625 0.625  1.65
Co4 0.125 0.625 0.625  1.65

Calculated values
DOS at the Fermi energy: 5.687 states/eV/cell
symmetry: F-43m (216)
formation energy from the elements: 126 meV/atom
energy: -6.46 eV/atom

Compound: BeReIr
Source: the Alexandria database
Functional: PBE-GGA
Structure: optimized geometry

Lattice parameters (Å, degrees): 5.207 5.207 5.207 149.08 149.08 44.30
Atoms (fractional coordinates):
Re1 0.657 0.657 0.000
Ir1 0.349 0.349 0.000
Be1 0.994 0.994 0.000

Calculated values
excess energy over the best structure of this formula in the dataset: 25 meV/atom
DOS at the Fermi energy: 1.307 states/eV/cell
symmetry: I4mm (107)
formation energy from the elements: -293 meV/atom
energy: -8.64 eV/atom

Compound: Pu2Ti15Al2
Source: the Alexandria database
Functional: PBE-GGA
Structure: optimized geometry

Lattice parameters (Å, degrees): 6.929 7.123 6.928 80.37 78.40 80.38
Last column: magnetic moment on the atom in μB.
Atoms (fractional coordinates):
Pu1 0.032 0.842 0.033  2.68
Pu2 0.944 0.170 0.944  -2.19
Ti1 0.930 0.590 0.929  -0.05
Ti2 0.944 0.944 0.620  -0.03
Ti3 0.620 0.944 0.944  -0.02
Ti4 0.337 0.002 0.670  0.04
Ti5 0.626 0.343 0.008  0.03
Ti6 0.018 0.643 0.352  -0.04
Ti7 0.352 0.643 0.018  -0.04
Ti8 0.008 0.343 0.626  0.03
Ti9 0.669 0.002 0.337  0.04
Ti10 0.284 0.955 0.284  0.11
Ti11 0.266 0.273 0.946  0.02
Ti12 0.947 0.273 0.266  0.02
Ti13 0.608 0.287 0.608  -0.01
Ti14 0.616 0.622 0.290  -0.11
Ti15 0.290 0.622 0.616  -0.11
Al1 0.664 0.675 0.664  0.00
Al2 0.344 0.327 0.344  0.00

Calculated values
DOS at the Fermi energy: 23.465 states/eV/cell
symmetry: P1 (1)
formation energy from the elements: 19 meV/atom
energy: -8.12 eV/atom

Compound: AgMoRu2
Source: the Alexandria database
Functional: PBE-GGA
Structure: optimized geometry

Lattice parameters (Å, degrees): 5.316 5.316 5.316 147.69 127.45 63.04
Atoms (fractional coordinates):
Ag1 0.250 0.750 0.500
Mo1 0.750 0.250 0.500
Ru1 0.974 0.974 0.000
Ru2 0.526 0.526 0.000

Calculated values
excess energy over the best structure of this formula in the dataset: 260 meV/atom
DOS at the Fermi energy: 2.847 states/eV/cell
symmetry: Immm (71)
formation energy from the elements: 460 meV/atom
energy: -7.60 eV/atom

Compound: TbTcH4
Source: the Alexandria database
Functional: PBE-GGA
Structure: optimized geometry

Lattice parameters (Å, degrees): 3.678 3.678 8.822 90.00 90.00 71.09
Atoms (fractional coordinates):
Tb1 0.000 0.000 0.500
Tb2 0.000 0.000 0.000
Tc1 0.646 0.647 0.250
Tc2 0.353 0.354 0.750
H1 0.860 0.331 0.750
H2 0.640 0.641 0.053
H3 0.640 0.641 0.447
H4 0.359 0.360 0.553
H5 0.359 0.360 0.947
H6 0.333 0.860 0.750
H7 0.669 0.140 0.250
H8 0.140 0.667 0.250

Calculated values
DOS at the Fermi energy: 3.052 states/eV/cell
symmetry: Cmcm (63)
energy: -5.03 eV/atom

Compound: Nd2ThSb
Source: the Alexandria database
Functional: PBE-GGA
Structure: optimized geometry

Lattice parameters (Å, degrees): 4.798 4.985 4.985 90.00 90.00 90.00
Atoms (fractional coordinates):
Sb1 0.500 0.000 0.000
Nd1 0.000 0.000 0.500
Nd2 0.000 0.500 0.000
Th1 0.500 0.500 0.500

Calculated values
excess energy over the best structure of this formula in the dataset: 20 meV/atom
DOS at the Fermi energy: 4.212 states/eV/cell
formation energy without anion corrections: -0.47 eV/atom
symmetry: P4/mmm (123)
energy: -5.74 eV/atom

Compound: SmTm2In2
Source: the Alexandria database
Functional: PBE-GGA
Structure: optimized geometry

Lattice parameters (Å, degrees): 5.140 5.140 6.395 90.00 90.00 120.00
Atoms (fractional coordinates):
Sm1 0.333 0.667 0.000
Tm1 0.333 0.667 0.500
Tm2 0.667 0.333 0.000
In1 0.000 0.000 0.247
In2 0.000 0.000 0.753

Calculated values
excess energy over the best structure of this formula in the dataset: 112 meV/atom
DOS at the Fermi energy: 3.004 states/eV/cell
symmetry: P-6m2 (187)
formation energy from the elements: -34 meV/atom
energy: -3.86 eV/atom

Compound: YScAu2
Source: the Alexandria database
Functional: PBE-GGA
Structure: optimized geometry

Lattice parameters (Å, degrees): 5.656 5.656 5.656 136.30 136.30 63.52
Atoms (fractional coordinates):
Au1 0.000 0.000 0.000
Au2 0.250 0.750 0.500
Sc1 0.500 0.500 0.000
Y1 0.750 0.250 0.500

Calculated values
excess energy over the best structure of this formula in the dataset: 219 meV/atom
DOS at the Fermi energy: 4.356 states/eV/cell
symmetry: I-4m2 (119)
formation energy from the elements: -609 meV/atom
energy: -5.45 eV/atom

Compound: Li2TlAgW
Source: the Alexandria database
Functional: PBE-GGA
Structure: optimized geometry

Lattice parameters (Å, degrees): 4.523 5.249 4.523 90.00 90.00 90.00
Last column: magnetic moment on the atom in μB.
Atoms (fractional coordinates):
Tl1 0.000 0.500 0.000  -0.07
Ag1 0.000 0.000 0.000  -0.01
W1 0.500 0.500 0.500  2.20
Li1 0.000 0.000 0.500  -0.02
Li2 0.500 0.000 0.000  -0.02

Calculated values
DOS at the Fermi energy: 3.390 states/eV/cell
symmetry: P4/mmm (123)
formation energy from the elements: 1193 meV/atom
energy: -3.21 eV/atom

Compound: KSnHgAs2
Source: the Alexandria database
Functional: PBE-GGA
Structure: optimized geometry

Lattice parameters (Å, degrees): 5.568 5.650 5.568 90.00 90.00 90.00
Last column: magnetic moment on the atom in μB.
Atoms (fractional coordinates):
K1 0.000 0.000 0.000  0.03
As1 0.000 0.000 0.500  0.16
As2 0.500 0.000 0.000  0.11
Hg1 0.000 0.500 0.000  0.01
Sn1 0.500 0.500 0.500  -0.03

Calculated values
DOS at the Fermi energy: 6.720 states/eV/cell
symmetry: P4/mmm (123)
formation energy from the elements: 1041 meV/atom
energy: -1.90 eV/atom

Compound: LiGe2WS
Source: the Alexandria database
Functional: PBE-GGA
Structure: optimized geometry

Lattice parameters (Å, degrees): 5.064 4.436 5.064 90.00 90.00 90.00
Last column: magnetic moment on the atom in μB.
Atoms (fractional coordinates):
Ge1 0.000 0.000 0.500  0.02
Ge2 0.500 0.000 0.000  -0.03
S1 0.000 0.000 0.000  -0.02
W1 0.000 0.500 0.000  1.26
Li1 0.500 0.500 0.500  0.00

Calculated values
DOS at the Fermi energy: 3.647 states/eV/cell
formation energy without anion corrections: 0.82 eV/atom
symmetry: P4/mmm (123)
energy: -4.82 eV/atom

Compound: PrDy2Y6Ho
Source: the Alexandria database
Functional: PBE-GGA
Structure: optimized geometry

Lattice parameters (Å, degrees): 9.738 8.774 8.774 117.28 94.81 94.81
Atoms (fractional coordinates):
Pr1 0.250 0.405 0.595
Pr2 0.750 0.595 0.405
Dy1 0.455 0.809 0.709
Dy2 0.045 0.291 0.191
Dy3 0.545 0.191 0.291
Dy4 0.955 0.709 0.809
Y1 0.056 0.119 0.751
Y2 0.444 0.249 0.881
Y3 0.944 0.881 0.249
Y4 0.556 0.751 0.119
Y5 0.318 0.976 0.425
Y6 0.182 0.575 0.024
Y7 0.682 0.024 0.575
Y8 0.818 0.425 0.976
Y9 0.120 0.706 0.497
Y10 0.380 0.503 0.294
Y11 0.880 0.294 0.503
Y12 0.620 0.497 0.706
Ho1 0.250 0.977 0.023
Ho2 0.750 0.023 0.977

Calculated values
DOS at the Fermi energy: 31.374 states/eV/cell
symmetry: C2/c (15)
formation energy from the elements: 121 meV/atom
energy: -5.61 eV/atom

Compound: TbGdNiRu
Source: the Alexandria database
Functional: PBE-GGA
Structure: optimized geometry

Lattice parameters (Å, degrees): 4.830 4.830 4.830 60.00 60.00 60.00
Last column: magnetic moment on the atom in μB.
Atoms (fractional coordinates):
Ru1 0.750 0.750 0.750  -0.07
Gd1 0.000 0.000 0.000  7.01
Tb1 0.500 0.500 0.500  0.01
Ni1 0.250 0.250 0.250  0.01

Calculated values
DOS at the Fermi energy: 3.117 states/eV/cell
symmetry: F-43m (216)
formation energy from the elements: -343 meV/atom
energy: -8.79 eV/atom

Compound: Cd2ReN2
Source: the Alexandria database
Functional: PBE-GGA
Structure: optimized geometry

Lattice parameters (Å, degrees): 5.542 5.542 5.100 90.00 90.00 90.00
Atoms (fractional coordinates):
Re1 0.000 0.000 0.000
Re2 0.500 0.500 0.000
N1 0.245 0.745 0.000
N2 0.745 0.755 0.000
N3 0.755 0.255 0.000
N4 0.255 0.245 0.000
Cd1 0.182 0.682 0.500
Cd2 0.682 0.818 0.500
Cd3 0.818 0.318 0.500
Cd4 0.318 0.182 0.500

Calculated values
excess energy over the best structure of this formula in the dataset: 0 meV/atom
DOS at the Fermi energy: 5.525 states/eV/cell
formation energy without anion corrections: 0.48 eV/atom
symmetry: P4/mbm (127)
energy: -5.70 eV/atom

Compound: K3Cd9Hg2
Source: the Alexandria database
Functional: PBE-GGA
Structure: optimized geometry

Lattice parameters (Å, degrees): 5.102 9.512 9.512 67.15 74.44 74.44
Atoms (fractional coordinates):
K1 0.000 0.000 0.000
K2 0.696 0.304 0.304
K3 0.304 0.696 0.696
Cd1 0.000 0.500 0.500
Cd2 0.670 0.973 0.687
Cd3 0.330 0.027 0.313
Cd4 0.670 0.687 0.973
Cd5 0.330 0.313 0.027
Cd6 0.867 0.847 0.419
Cd7 0.133 0.153 0.581
Cd8 0.867 0.419 0.847
Cd9 0.133 0.581 0.153
Hg1 0.500 0.304 0.696
Hg2 0.500 0.696 0.304

Calculated values
DOS at the Fermi energy: 6.675 states/eV/cell
symmetry: Immm (71)
formation energy from the elements: -94 meV/atom
energy: -0.96 eV/atom

Compound: TaMn3Hg
Source: the Alexandria database
Functional: PBE-GGA
Structure: optimized geometry

Lattice parameters (Å, degrees): 4.729 4.729 4.729 90.00 90.00 90.00
Last column: magnetic moment on the atom in μB.
Atoms (fractional coordinates):
Mn1 0.000 0.500 0.000  3.08
Mn2 0.000 0.000 0.500  2.85
Mn3 0.500 0.000 0.000  3.30
Hg1 0.500 0.500 0.500  -0.04
Ta1 0.000 0.000 0.000  -1.02

Calculated values
excess energy over the best structure of this formula in the dataset: 0 meV/atom
DOS at the Fermi energy: 2.521 states/eV/cell
symmetry: Pm-3m (221)
formation energy from the elements: 1281 meV/atom
energy: -6.65 eV/atom

Compound: CaZr2Cl
Source: the Alexandria database
Functional: PBE-GGA
Structure: optimized geometry

Lattice parameters (Å, degrees): 3.313 4.671 6.597 69.27 90.00 90.00
Atoms (fractional coordinates):
Ca1 0.000 0.518 0.589
Zr1 0.000 0.789 0.047
Zr2 0.500 0.206 0.214
Cl1 0.500 0.987 0.651

Calculated values
excess energy over the best structure of this formula in the dataset: 56 meV/atom
DOS at the Fermi energy: 2.194 states/eV/cell
formation energy without anion corrections: -0.42 eV/atom
symmetry: Amm2 (38)
energy: -5.66 eV/atom